# GGA-PBE Nd2Be3ZnCu12, optimized geometry
data_Nd2Be3ZnCu12
_space_group_name_H-M_alt 'R -3 m'
_space_group_IT_number 166
_space_group_name_Hall '-R 3 2"'
_cell_length_a 7.5268
_cell_length_b 7.5268
_cell_length_c 17.8385
_cell_angle_alpha 90.00
_cell_angle_beta 90.00
_cell_angle_gamma 120.00
loop_
_atom_site_label
_atom_site_type_symbol
_atom_site_fract_x
_atom_site_fract_y
_atom_site_fract_z
Nd1 Nd 0.0000 0.0000 0.1065
Be1 Be 0.0000 0.5000 0.0000
Zn1 Zn 0.0000 0.0000 0.5000
Cu1 Cu 0.0072 0.5036 0.8810
Cu2 Cu 0.0436 0.5218 0.3587
# * size of the total moment: 0.0 μB per cell
# * electronic total energy: -197.28 eV per cell
# * calculated formation energy: 6.894 kcal/mol of atoms